This record from the Alexandria database describes TlSeBr2 after structural relaxation. The functional is GGA-PBEsol.

Cell and atoms, written as POSCAR:
```
TlSeBr2
1.0
4.495 0.000 0.000
0.000 6.883 0.000
0.000 0.000 7.412
Tl Se Br
2 2 4
Direct
0.000 0.000 0.000
0.500 0.500 0.000
0.000 0.000 0.500
0.500 0.500 0.500
0.000 0.500 0.278
0.000 0.500 0.722
0.500 0.000 0.278
0.500 0.000 0.722
```

Results
As for the symmetry: Cmmm. The uncorrected formation energy is -0.0304 eV per atom. The value obtained for the final energy is -10.3 eV/f.u. The value obtained for the total magnetization is 0.00 μB per formula unit.

***

This record from the Alexandria database describes Tl5Se2Br after structural relaxation. The functional is GGA-PBEsol.

Cell and atoms, written as POSCAR:
```
Tl5Se2Br
1.0
-4.256 4.256 6.374
4.256 -4.256 6.374
4.256 4.256 -6.374
Tl Se Br
10 4 2
Direct
0.000 0.000 0.000
0.000 0.500 0.206
0.000 0.500 0.794
0.206 0.000 0.500
0.294 0.794 0.794
0.500 0.294 0.500
0.500 0.500 0.000
0.500 0.706 0.500
0.706 0.206 0.206
0.794 0.000 0.500
0.156 0.344 0.500
0.344 0.844 0.187
0.656 0.156 0.813
0.844 0.656 0.500
0.250 0.250 0.000
0.750 0.750 0.000
```

Results
As for the symmetry: I4/mcm. The uncorrected formation energy is -0.4426 eV per atom. The value obtained for the final energy is -26.3 eV/f.u. The value obtained for the total magnetization is 0.00 μB per formula unit.

***

This record from the Alexandria database describes Tl2Se2Br after structural relaxation. The functional is GGA-PBEsol.

Cell and atoms, written as POSCAR:
```
Tl2Se2Br
1.0
3.924 0.000 0.000
0.000 3.924 0.000
0.000 0.000 18.184
Tl Se Br
4 4 2
Direct
0.000 0.000 0.103
0.000 0.000 0.897
0.500 0.500 0.397
0.500 0.500 0.603
0.000 0.500 0.250
0.000 0.500 0.750
0.500 0.000 0.250
0.500 0.000 0.750
0.000 0.000 0.500
0.500 0.500 0.000
```

Results
As for the symmetry: I4/mmm. The uncorrected formation energy is -0.3906 eV per atom. The value obtained for the final energy is -16.8 eV/f.u. The value obtained for the total magnetization is 0.00 μB per formula unit.

***

This record from the Alexandria database describes TlSeBr3 after structural relaxation. The functional is GGA-PBEsol.

Cell and atoms, written as POSCAR:
```
TlSeBr3
1.0
5.356 0.000 0.000
0.000 5.356 0.000
0.000 0.000 5.356
Tl Se Br
1 1 3
Direct
0.000 0.000 0.000
0.500 0.500 0.500
0.000 0.500 0.500
0.500 0.000 0.500
0.500 0.500 0.000
```

Results
As for the symmetry: Pm-3m. The uncorrected formation energy is -0.3129 eV per atom. The value obtained for the final energy is -13.7 eV/f.u. The value obtained for the total magnetization is 0.00 μB per formula unit.

***

This record from the Alexandria database describes WSeBr after structural relaxation. The functional is GGA-PBEsol.

Cell and atoms, written as POSCAR:
```
WSeBr
1.0
3.187 0.000 0.000
0.000 3.187 0.000
0.000 0.000 14.283
W Se Br
2 2 2
Direct
0.000 0.000 0.000
0.500 0.500 0.500
0.000 0.000 0.415
0.500 0.500 0.915
0.000 0.000 0.167
0.500 0.500 0.667
```

Results
As for the symmetry: I4mm. The uncorrected formation energy is 0.1840 eV per atom. The value obtained for the final energy is -19.0 eV/f.u. The value obtained for the total magnetization is 0.00 μB per formula unit.

***

This record from the Alexandria database describes WSeBr2 after structural relaxation. The functional is GGA-PBEsol.

Cell and atoms, written as POSCAR:
```
WSeBr2
1.0
4.431 0.000 0.000
0.000 4.431 0.000
0.000 0.000 7.410
W Se Br
2 2 4
Direct
0.000 0.000 0.000
0.500 0.500 0.500
0.000 0.000 0.500
0.500 0.500 0.000
0.000 0.500 0.250
0.000 0.500 0.750
0.500 0.000 0.250
0.500 0.000 0.750
```

Results
As for the symmetry: I4/mmm. The uncorrected formation energy is 1.0390 eV per atom. The value obtained for the final energy is -17.2 eV/f.u. The value obtained for the total magnetization is 0.00 μB per formula unit.

***

This record from the Alexandria database describes WSe2Br after structural relaxation. The functional is GGA-PBEsol.

Cell and atoms, written as POSCAR:
```
WSe2Br
1.0
3.401 0.000 0.000
0.000 3.401 0.000
0.000 0.000 7.193
W Se Br
1 2 1
Direct
0.000 0.000 0.000
0.000 0.000 0.652
0.500 0.500 0.847
0.500 0.500 0.261
```

Results
As for the symmetry: P4mm. The uncorrected formation energy is 0.3711 eV per atom. The value obtained for the final energy is -21.9 eV/f.u. The value obtained for the total magnetization is 0.00 μB per formula unit.

***

This record from the Alexandria database describes WSeBr2 after structural relaxation. The functional is GGA-PBEsol.

Cell and atoms, written as POSCAR:
```
WSeBr2
1.0
3.239 0.000 0.000
-1.619 2.805 0.000
0.000 0.000 28.473
W Se Br
3 3 6
Direct
0.000 0.000 0.000
0.333 0.667 0.667
0.667 0.333 0.333
0.000 0.000 0.274
0.333 0.667 0.941
0.667 0.333 0.607
0.000 0.000 0.503
0.000 0.000 0.732
0.333 0.667 0.169
0.333 0.667 0.399
0.667 0.333 0.065
0.667 0.333 0.836
```

Results
As for the symmetry: R3m. The uncorrected formation energy is -0.0362 eV per atom. The value obtained for the final energy is -21.5 eV/f.u. The value obtained for the total magnetization is 0.00 μB per formula unit.

***

This record from the Alexandria database describes WSeBr after structural relaxation. The functional is GGA-PBEsol.

Cell and atoms, written as POSCAR:
```
WSeBr
1.0
6.375 0.000 0.000
0.000 6.375 0.000
0.000 0.000 6.375
W Se Br
4 4 4
Direct
0.000 0.000 0.000
0.000 0.500 0.500
0.500 0.000 0.500
0.500 0.500 0.000
0.000 0.000 0.500
0.000 0.500 0.000
0.500 0.000 0.000
0.500 0.500 0.500
0.250 0.250 0.250
0.250 0.750 0.750
0.750 0.250 0.750
0.750 0.750 0.250
```

Results
As for the symmetry: F-43m. The uncorrected formation energy is 1.7154 eV per atom. The value obtained for the final energy is -14.4 eV/f.u. The value obtained for the total magnetization is 2.78 μB per formula unit.

***

This record from the Alexandria database describes W3SeBr after structural relaxation. The functional is GGA-PBEsol.

Cell and atoms, written as POSCAR:
```
W3SeBr
1.0
4.623 0.000 0.000
0.000 4.623 0.000
0.000 0.000 4.623
W Se Br
3 1 1
Direct
0.000 0.000 0.500
0.000 0.500 0.000
0.500 0.000 0.000
0.000 0.000 0.000
0.500 0.500 0.500
```

Results
As for the symmetry: Pm-3m. The uncorrected formation energy is 2.1099 eV per atom. The value obtained for the final energy is -36.6 eV/f.u. The value obtained for the total magnetization is 0.00 μB per formula unit.

***

This record from the Alexandria database describes WSeBr2 after structural relaxation. The functional is GGA-PBEsol.

Cell and atoms, written as POSCAR:
```
WSeBr2
1.0
4.544 0.000 0.000
0.000 4.544 0.000
0.000 0.000 7.066
W Se Br
2 2 4
Direct
0.000 0.000 0.000
0.500 0.500 0.500
0.000 0.500 0.750
0.500 0.000 0.250
0.000 0.000 0.500
0.000 0.500 0.250
0.500 0.000 0.750
0.500 0.500 0.000
```

Results
As for the symmetry: I-4m2. The uncorrected formation energy is 0.8304 eV per atom. The value obtained for the final energy is -18.1 eV/f.u. The value obtained for the total magnetization is 0.00 μB per formula unit.

***

This record from the Alexandria database describes WSeBr2 after structural relaxation. The functional is GGA-PBEsol.

Cell and atoms, written as POSCAR:
```
WSeBr2
1.0
4.942 0.000 0.000
0.000 4.942 0.000
0.000 0.000 3.076
W Se Br
1 1 2
Direct
0.000 0.000 0.000
0.500 0.500 0.000
0.000 0.500 0.500
0.500 0.000 0.500
```

Results
As for the symmetry: P4/mmm. The uncorrected formation energy is 1.2466 eV per atom. The value obtained for the final energy is -16.4 eV/f.u. The value obtained for the total magnetization is 0.03 μB per formula unit.